Below is a relaxed PmFe4B4 crystal, with properties calculated at the PBE level.

## Properties
- energy relative to the elements (eV per atom) = -0.448
- calculated total energy (eV/atom) = -7.7048
- volume (Å³/f.u.) = 94.0
- space group = P4_2/n

a b c (Å): 7.027 7.027 3.808
angles (deg): 90.00 90.00 90.00
Fractional positions:
Pm: 0.250 0.250 0.250
Pm: 0.750 0.750 0.750
Fe: 0.118 0.637 0.143
Fe: 0.137 0.882 0.643
Fe: 0.363 0.618 0.643
Fe: 0.382 0.863 0.143
Fe: 0.618 0.137 0.857
Fe: 0.637 0.382 0.357
Fe: 0.863 0.118 0.357
Fe: 0.882 0.363 0.857
B: 0.049 0.916 0.144
B: 0.084 0.549 0.644
B: 0.416 0.951 0.644
B: 0.451 0.584 0.144
B: 0.549 0.416 0.856
B: 0.584 0.049 0.356
B: 0.916 0.451 0.356
B: 0.951 0.084 0.856


Below is a relaxed Pm3Fe2B9 crystal, with properties calculated at the PBE level.

## Properties
- energy relative to the elements (eV per atom) = -0.215
- calculated total energy (eV/atom) = -6.7346
- volume (Å³/f.u.) = 168.4
- space group = Immm

a b c (Å): 8.027 8.027 8.027
angles (deg): 157.56 120.83 64.10
Fractional positions:
Pm: 0.000 0.000 0.000
Pm: 0.261 0.261 0.000
Pm: 0.739 0.739 0.000
Fe: 0.341 0.500 0.841
Fe: 0.659 0.500 0.159
B: 0.079 0.373 0.707
B: 0.157 0.884 0.272
B: 0.334 0.627 0.707
B: 0.388 0.116 0.272
B: 0.500 0.000 0.500
B: 0.612 0.884 0.728
B: 0.666 0.373 0.293
B: 0.843 0.116 0.728
B: 0.921 0.627 0.293


Below is a relaxed PmFeB crystal, with properties calculated at the PBE level.

## Properties
- energy relative to the elements (eV per atom) = -0.092
- calculated total energy (eV/atom) = -6.7227
- volume (Å³/f.u.) = 46.3
- E above lowest polymorph (eV per formula unit) = 0.64
- space group = P-6m2

a b c (Å): 3.576 3.576 4.182
angles (deg): 90.00 90.00 120.00
Fractional positions:
Pm: 0.000 0.000 0.000
Fe: 0.333 0.667 0.500
B: 0.667 0.333 0.500


Below is a relaxed PmFe2B6 crystal, with properties calculated at the PBE level.

## Properties
- energy relative to the elements (eV per atom) = -0.494
- calculated total energy (eV/atom) = -7.3538
- volume (Å³/f.u.) = 81.4
- space group = Immm

a b c (Å): 5.404 5.404 5.404
angles (deg): 145.90 109.38 80.80
Fractional positions:
Pm: 0.000 0.000 0.000
Fe: 0.344 0.844 0.500
Fe: 0.656 0.156 0.500
B: 0.068 0.303 0.765
B: 0.361 0.500 0.861
B: 0.463 0.697 0.765
B: 0.537 0.303 0.235
B: 0.639 0.500 0.139
B: 0.932 0.697 0.235


Below is a relaxed PmFe9B4 crystal, with properties calculated at the PBE level.

## Properties
- energy relative to the elements (eV per atom) = -0.139
- calculated total energy (eV/atom) = -7.8265
- volume (Å³/f.u.) = 151.5
- space group = I4/mcm

a b c (Å): 7.592 7.592 7.592
angles (deg): 121.33 121.33 87.72
Fractional positions:
Pm: 0.250 0.250 0.000
Pm: 0.750 0.750 0.000
Fe: 0.000 0.500 0.500
Fe: 0.030 0.809 0.500
Fe: 0.094 0.813 0.907
Fe: 0.187 0.094 0.281
Fe: 0.191 0.691 0.221
Fe: 0.309 0.530 0.500
Fe: 0.313 0.594 0.907
Fe: 0.406 0.313 0.719
Fe: 0.470 0.970 0.779
Fe: 0.500 0.000 0.500
Fe: 0.530 0.030 0.221
Fe: 0.594 0.687 0.281
Fe: 0.687 0.406 0.093
Fe: 0.691 0.470 0.500
Fe: 0.809 0.309 0.779
Fe: 0.813 0.906 0.719
Fe: 0.906 0.187 0.093
Fe: 0.970 0.191 0.500
B: 0.005 0.505 0.804
B: 0.201 0.005 0.500
B: 0.299 0.799 0.804
B: 0.495 0.299 0.500
B: 0.505 0.701 0.500
B: 0.701 0.201 0.196
B: 0.799 0.995 0.500
B: 0.995 0.495 0.196


Below is a relaxed PmFeB2Ru crystal, with properties calculated at the PBE level.

## Properties
- energy relative to the elements (eV per atom) = -0.398
- calculated total energy (eV/atom) = -7.5666
- volume (Å³/f.u.) = 70.9
- space group = I-4m2

a b c (Å): 5.622 5.622 5.622
angles (deg): 140.65 140.65 56.86
Fractional positions:
Pm: 0.000 0.000 0.000
Fe: 0.250 0.750 0.500
B: 0.335 0.335 0.000
B: 0.665 0.665 0.000
Ru: 0.750 0.250 0.500


Below is a relaxed PrFeB crystal, with properties calculated at the PBE level.

## Properties
- energy relative to the elements (eV per atom) = -0.276
- calculated total energy (eV/atom) = -6.9163
- volume (Å³/f.u.) = 53.9
- E above lowest polymorph (eV per formula unit) = 0.00
- space group = P4/nmm

a b c (Å): 3.621 3.621 8.221
angles (deg): 90.00 90.00 90.00
Fractional positions:
Pr: 0.250 0.250 0.208
Pr: 0.750 0.750 0.792
Fe: 0.250 0.750 0.500
Fe: 0.750 0.250 0.500
B: 0.250 0.250 0.609
B: 0.750 0.750 0.391


Below is a relaxed PrFeB4 crystal, with properties calculated at the PBE level.

## Properties
- energy relative to the elements (eV per atom) = -0.421
- calculated total energy (eV/atom) = -7.0795
- volume (Å³/f.u.) = 62.3
- space group = Cmmm

a b c (Å): 6.039 6.039 3.525
angles (deg): 90.00 90.00 104.12
Fractional positions:
Pr: 0.198 0.802 0.000
Pr: 0.802 0.198 0.000
Fe: 0.333 0.333 0.000
Fe: 0.667 0.667 0.000
B: 0.128 0.432 0.500
B: 0.139 0.139 0.500
B: 0.411 0.589 0.500
B: 0.432 0.128 0.500
B: 0.568 0.872 0.500
B: 0.589 0.411 0.500
B: 0.861 0.861 0.500
B: 0.872 0.568 0.500


Below is a relaxed Pr3FeB7 crystal, with properties calculated at the PBE level.

## Properties
- energy relative to the elements (eV per atom) = -0.333
- calculated total energy (eV/atom) = -6.6546
- volume (Å³/f.u.) = 141.4
- space group = Cmcm

a b c (Å): 8.303 8.303 9.985
angles (deg): 90.00 90.00 155.75
Fractional positions:
Pr: 0.099 0.901 0.554
Pr: 0.099 0.901 0.946
Pr: 0.252 0.748 0.250
Pr: 0.748 0.252 0.750
Pr: 0.901 0.099 0.054
Pr: 0.901 0.099 0.446
Fe: 0.063 0.937 0.250
Fe: 0.937 0.063 0.750
B: 0.272 0.728 0.531
B: 0.272 0.728 0.969
B: 0.362 0.638 0.657
B: 0.362 0.638 0.843
B: 0.465 0.535 0.250
B: 0.466 0.534 0.625
B: 0.466 0.534 0.875
B: 0.534 0.466 0.125
B: 0.534 0.466 0.375
B: 0.535 0.465 0.750
B: 0.638 0.362 0.157
B: 0.638 0.362 0.343
B: 0.728 0.272 0.031
B: 0.728 0.272 0.469


Below is a relaxed Pr4Fe3B6 crystal, with properties calculated at the PBE level.

## Properties
- energy relative to the elements (eV per atom) = -0.263
- calculated total energy (eV/atom) = -6.7683
- volume (Å³/f.u.) = 193.6
- space group = R-3m

a b c (Å): 8.231 8.231 8.231
angles (deg): 38.43 38.43 38.43
Fractional positions:
Pr: 0.089 0.089 0.089
Pr: 0.243 0.243 0.243
Pr: 0.757 0.757 0.757
Pr: 0.911 0.911 0.911
Fe: 0.383 0.383 0.383
Fe: 0.500 0.500 0.500
Fe: 0.617 0.617 0.617
B: 0.000 0.334 0.666
B: 0.000 0.666 0.334
B: 0.334 0.000 0.666
B: 0.334 0.666 0.000
B: 0.666 0.000 0.334
B: 0.666 0.334 0.000


Below is a relaxed PrFe2B2 crystal, with properties calculated at the PBE level.

## Properties
- energy relative to the elements (eV per atom) = -0.202
- calculated total energy (eV/atom) = -7.2135
- volume (Å³/f.u.) = 64.8
- space group = C2/m

a b c (Å): 5.400 5.400 4.083
angles (deg): 102.90 102.90 34.05
Fractional positions:
Pr: 0.000 0.000 0.000
Fe: 0.323 0.323 0.412
Fe: 0.677 0.677 0.588
B: 0.262 0.262 0.890
B: 0.738 0.738 0.110


Below is a relaxed PrFe9B4 crystal, with properties calculated at the PBE level.

## Properties
- energy relative to the elements (eV per atom) = -0.119
- calculated total energy (eV/atom) = -7.8086
- volume (Å³/f.u.) = 152.9
- space group = I4/mcm

a b c (Å): 7.615 7.615 7.615
angles (deg): 121.29 121.29 87.77
Fractional positions:
Pr: 0.250 0.250 0.000
Pr: 0.750 0.750 0.000
Fe: 0.000 0.500 0.500
Fe: 0.031 0.808 0.500
Fe: 0.094 0.813 0.907
Fe: 0.187 0.094 0.281
Fe: 0.192 0.692 0.223
Fe: 0.308 0.531 0.500
Fe: 0.313 0.594 0.907
Fe: 0.406 0.313 0.719
Fe: 0.469 0.969 0.777
Fe: 0.500 0.000 0.500
Fe: 0.531 0.031 0.223
Fe: 0.594 0.687 0.281
Fe: 0.687 0.406 0.093
Fe: 0.692 0.469 0.500
Fe: 0.808 0.308 0.777
Fe: 0.813 0.906 0.719
Fe: 0.906 0.187 0.093
Fe: 0.969 0.192 0.500
B: 0.005 0.505 0.803
B: 0.202 0.005 0.500
B: 0.298 0.798 0.803
B: 0.495 0.298 0.500
B: 0.505 0.702 0.500
B: 0.702 0.202 0.197
B: 0.798 0.995 0.500
B: 0.995 0.495 0.197


What did the fifth record say?
Below is a relaxed PmFe9B4 crystal, with properties calculated at the PBE level.

## Properties
- energy relative to the elements (eV per atom) = -0.139
- calculated total energy (eV/atom) = -7.8265
- volume (Å³/f.u.) = 151.5
- space group = I4/mcm

a b c (Å): 7.592 7.592 7.592
angles (deg): 121.33 121.33 87.72
Fractional positions:
Pm: 0.250 0.250 0.000
Pm: 0.750 0.750 0.000
Fe: 0.000 0.500 0.500
Fe: 0.030 0.809 0.500
Fe: 0.094 0.813 0.907
Fe: 0.187 0.094 0.281
Fe: 0.191 0.691 0.221
Fe: 0.309 0.530 0.500
Fe: 0.313 0.594 0.907
Fe: 0.406 0.313 0.719
Fe: 0.470 0.970 0.779
Fe: 0.500 0.000 0.500
Fe: 0.530 0.030 0.221
Fe: 0.594 0.687 0.281
Fe: 0.687 0.406 0.093
Fe: 0.691 0.470 0.500
Fe: 0.809 0.309 0.779
Fe: 0.813 0.906 0.719
Fe: 0.906 0.187 0.093
Fe: 0.970 0.191 0.500
B: 0.005 0.505 0.804
B: 0.201 0.005 0.500
B: 0.299 0.799 0.804
B: 0.495 0.299 0.500
B: 0.505 0.701 0.500
B: 0.701 0.201 0.196
B: 0.799 0.995 0.500
B: 0.995 0.495 0.196